(1)
4
Lattice="3.7193 -0.0034 0.0141 1.8616 3.2199 0.0141 1.8452 1.0635 5.0865" Properties=species:S:1:pos:R:3 comment="PBE CaBe2Fe, optimized geometry" space_group=R3m formation_energy_ev_per_atom=0.120 pbc="T T T"
Be 1.8452 1.0635 4.9558
Be 5.5660 3.2079 4.8447
Ca 3.7146 2.1409 2.5867
Fe 1.8587 1.0713 0.3714

***

(2)
6
Lattice="0.0000 4.5236 4.5236 4.5236 0.0000 4.5236 4.5236 4.5236 0.0000" Properties=species:S:1:pos:R:3 comment="PBE Ca4BeFe, optimized geometry" space_group=F-43m formation_energy_ev_per_atom=1.114 pbc="T T T"
Ca 3.3971 5.6501 5.6501
Ca 5.6501 5.6501 3.3971
Ca 5.6501 3.3971 5.6501
Ca 3.3971 3.3971 3.3971
Be 0.0000 0.0000 0.0000
Fe 6.7854 6.7854 6.7854

***

(3)
4
Lattice="-0.6643 1.2166 5.8589 1.9894 -3.8062 4.2194 1.4722 3.3257 -4.7980" Properties=species:S:1:pos:R:3 comment="PBE Ca2BeFe, optimized geometry" space_group=Imm2 formation_energy_ev_per_atom=0.372 pbc="T T T"
Be 2.1418 -1.0435 2.8368
Ca 0.0291 -0.0569 0.2214
Ca 0.7177 1.6579 2.9171
Fe 0.5712 -1.1162 4.3442

***

(4)
4
Lattice="-1.2118 1.3580 2.9078 -3.1949 -0.8441 -0.9372 -2.4633 -7.4600 2.4575" Properties=species:S:1:pos:R:3 comment="PBE Ca2BeFe, optimized geometry" space_group=P2/m formation_energy_ev_per_atom=0.559 pbc="T T T"
Be -4.8495 -5.5490 2.5942
Ca -2.4691 -7.4014 2.4278
Ca -2.8232 -4.2106 0.7900
Fe -2.0204 -1.3970 1.8340

***

(5)
4
Lattice="2.9842 0.0000 0.0000 0.0000 2.9842 0.0000 0.0000 0.0000 6.4414" Properties=species:S:1:pos:R:3 comment="PBE CaBe2Fe, optimized geometry" space_group=P4mm formation_energy_ev_per_atom=0.430 pbc="T T T"
Be 0.0000 0.0000 6.2302
Be 1.4921 1.4921 1.0674
Ca 0.0000 0.0000 3.3286
Fe 1.4921 1.4921 5.4774

***

(6)
5
Lattice="-1.3285 3.3316 -3.8062 -5.2374 -1.2532 0.7311 -0.4295 3.8468 3.5170" Properties=species:S:1:pos:R:3 comment="PBE KCaBeFe2, optimized geometry" space_group=P4/mmm formation_energy_ev_per_atom=1.696 pbc="T T T"
K -3.4977 2.9626 0.2209
Be -2.6187 -0.6266 0.3656
Ca 0.0000 0.0000 0.0000
Fe -0.2147 1.9234 1.7585
Fe -0.6642 1.6658 -1.9031